Entry 1:
This record from the Alexandria database describes an optimized crystal structure of K2Pb2O3. The functional is PBE-GGA.

CIF file:
```
data_K2Pb2O3
_chemical_formula_sum 'K4 Pb4 O6'
_symmetry_space_group_name_H-M 'P 1 21/c 1'
_symmetry_Int_Tables_number 14
_symmetry_space_group_name_Hall '-P 2ybc'
_cell_length_a 6.3323
_cell_length_b 8.0705
_cell_length_c 6.6030
_cell_angle_alpha 90.00
_cell_angle_beta 102.77
_cell_angle_gamma 90.00
loop_
_atom_site_label
_atom_site_type_symbol
_atom_site_fract_x
_atom_site_fract_y
_atom_site_fract_z
_atom_site_occupancy
K1 K 0.2426 0.1281 0.1245 1
Pb1 Pb 0.2130 0.6321 0.0637 1
O1 O 0.0546 0.0682 0.7149 1
O2 O 0.5000 0.0000 0.5000 1
```

Total moment, μB per cell: 0.0
Raw formation energy, eV per atom: -1.209



Entry 2:
This record from the Alexandria database describes an optimized crystal structure of KPdPbO4. The functional is PBE-GGA.

CIF file:
```
data_KPdPbO4
_chemical_formula_sum 'K4 Pd4 Pb4 O16'
_symmetry_space_group_name_H-M 'I m m a'
_symmetry_Int_Tables_number 74
_symmetry_space_group_name_Hall '-I 2b 2'
_cell_length_a 7.0538
_cell_length_b 7.1241
_cell_length_c 8.9749
_cell_angle_alpha 90.00
_cell_angle_beta 90.00
_cell_angle_gamma 90.00
loop_
_atom_site_label
_atom_site_type_symbol
_atom_site_fract_x
_atom_site_fract_y
_atom_site_fract_z
_atom_site_occupancy
K1 K 0.0000 0.2500 0.1298 1
Pd1 Pd 0.0000 0.0000 0.5000 1
Pb1 Pb 0.2500 0.2500 0.7500 1
O1 O 0.0000 0.0429 0.7260 1
O2 O 0.1850 0.2500 0.5079 1
```

Total moment, μB per cell: 0.0
Raw formation energy, eV per atom: -0.814



Entry 3:
This record from the Alexandria database describes an optimized crystal structure of K3PdPb3O8. The functional is PBE-GGA.

CIF file:
```
data_K3PdPb3O8
_chemical_formula_sum 'K6 Pd2 Pb6 O16'
_symmetry_space_group_name_H-M 'C 1 2/m 1'
_symmetry_Int_Tables_number 12
_symmetry_space_group_name_Hall '-C 2y'
_cell_length_a 12.4899
_cell_length_b 6.7426
_cell_length_c 7.3573
_cell_angle_alpha 90.00
_cell_angle_beta 122.37
_cell_angle_gamma 90.00
loop_
_atom_site_label
_atom_site_type_symbol
_atom_site_fract_x
_atom_site_fract_y
_atom_site_fract_z
_atom_site_occupancy
K1 K 0.0000 0.0000 0.0000 1
K2 K 0.2500 0.2500 0.0000 1
Pd1 Pd 0.0000 0.0000 0.5000 1
Pb1 Pb 0.0000 0.5000 0.5000 1
Pb2 Pb 0.2500 0.2500 0.5000 1
O1 O 0.0344 0.2169 0.3449 1
O2 O 0.2177 0.5000 0.2819 1
O3 O 0.2380 0.5000 0.7053 1
```

Total moment, μB per cell: 0.0
Raw formation energy, eV per atom: -1.048



Entry 4:
This record from the Alexandria database describes an optimized crystal structure of K2PdPbO4. The functional is PBE-GGA.

CIF file:
```
data_K2PdPbO4
_chemical_formula_sum 'K4 Pd2 Pb2 O8'
_symmetry_space_group_name_H-M 'I -4'
_symmetry_Int_Tables_number 82
_symmetry_space_group_name_Hall 'I -4'
_cell_length_a 6.3388
_cell_length_b 6.3388
_cell_length_c 6.9405
_cell_angle_alpha 90.00
_cell_angle_beta 90.00
_cell_angle_gamma 90.00
loop_
_atom_site_label
_atom_site_type_symbol
_atom_site_fract_x
_atom_site_fract_y
_atom_site_fract_z
_atom_site_occupancy
K1 K 0.0000 0.0000 0.0000 1
K2 K 0.0000 0.5000 0.2500 1
Pd1 Pd 0.0000 0.5000 0.7500 1
Pb1 Pb 0.0000 0.0000 0.5000 1
O1 O 0.1518 0.2198 0.7010 1
```

Total moment, μB per cell: 0.0
Raw formation energy, eV per atom: -0.951



Entry 5:
This record from the Alexandria database describes an optimized crystal structure of K2PmPb2O4. The functional is PBE-GGA.

CIF file:
```
data_K2PmPb2O4
_chemical_formula_sum 'K4 Pm2 Pb4 O8'
_symmetry_space_group_name_H-M 'C 1 2/m 1'
_symmetry_Int_Tables_number 12
_symmetry_space_group_name_Hall '-C 2y'
_cell_length_a 12.9255
_cell_length_b 3.5834
_cell_length_c 9.0442
_cell_angle_alpha 90.00
_cell_angle_beta 113.88
_cell_angle_gamma 90.00
loop_
_atom_site_label
_atom_site_type_symbol
_atom_site_fract_x
_atom_site_fract_y
_atom_site_fract_z
_atom_site_occupancy
K1 K 0.2008 0.0000 0.2924 1
Pm1 Pm 0.0000 0.0000 0.5000 1
Pb1 Pb 0.0877 0.5000 0.8690 1
O1 O 0.0657 0.5000 0.3839 1
O2 O 0.1558 0.0000 0.7544 1
```

Total moment, μB per cell: 0.0
Raw formation energy, eV per atom: -1.699



Entry 6:
This record from the Alexandria database describes an optimized crystal structure of K2Pm2PbO6. The functional is PBE-GGA.

CIF file:
```
data_K2Pm2PbO6
_chemical_formula_sum 'K4 Pm4 Pb2 O12'
_symmetry_space_group_name_H-M 'C 1 2/m 1'
_symmetry_Int_Tables_number 12
_symmetry_space_group_name_Hall '-C 2y'
_cell_length_a 6.1324
_cell_length_b 10.6240
_cell_length_c 6.6889
_cell_angle_alpha 90.00
_cell_angle_beta 106.12
_cell_angle_gamma 90.00
loop_
_atom_site_label
_atom_site_type_symbol
_atom_site_fract_x
_atom_site_fract_y
_atom_site_fract_z
_atom_site_occupancy
K1 K 0.0000 0.1618 0.0000 1
Pm1 Pm 0.0000 0.3345 0.5000 1
Pb1 Pb 0.0000 0.0000 0.5000 1
O1 O 0.2119 0.1647 0.6797 1
O2 O 0.2486 0.5000 0.6801 1
```

Total moment, μB per cell: 0.0
Raw formation energy, eV per atom: -2.161



Entry 7:
This record from the Alexandria database describes an optimized crystal structure of KPm4Pb3O12. The functional is PBE-GGA.

CIF file:
```
data_KPm4Pb3O12
_chemical_formula_sum 'K2 Pm8 Pb6 O24'
_symmetry_space_group_name_H-M 'I m -3'
_symmetry_Int_Tables_number 204
_symmetry_space_group_name_Hall '-I 2 2 3'
_cell_length_a 8.7510
_cell_length_b 8.7510
_cell_length_c 8.7510
_cell_angle_alpha 90.00
_cell_angle_beta 90.00
_cell_angle_gamma 90.00
loop_
_atom_site_label
_atom_site_type_symbol
_atom_site_fract_x
_atom_site_fract_y
_atom_site_fract_z
_atom_site_occupancy
K1 K 0.0000 0.0000 0.0000 1
Pm1 Pm 0.2500 0.2500 0.2500 1
Pb1 Pb 0.0000 0.0000 0.5000 1
O1 O 0.0000 0.3203 0.1749 1
```

Total moment, μB per cell: 0.0
Raw formation energy, eV per atom: -2.087



Entry 8:
This record from the Alexandria database describes an optimized crystal structure of K4Pm3PbO8. The functional is PBE-GGA.

CIF file:
```
data_K4Pm3PbO8
_chemical_formula_sum 'K12 Pm9 Pb3 O24'
_symmetry_space_group_name_H-M 'R -3 m'
_symmetry_Int_Tables_number 166
_symmetry_space_group_name_Hall '-R 3 2"'
_cell_length_a 7.2149
_cell_length_b 7.2149
_cell_length_c 18.9574
_cell_angle_alpha 90.00
_cell_angle_beta 90.00
_cell_angle_gamma 120.00
loop_
_atom_site_label
_atom_site_type_symbol
_atom_site_fract_x
_atom_site_fract_y
_atom_site_fract_z
_atom_site_occupancy
K1 K 0.0000 0.0000 0.0000 1
K2 K 0.0000 0.5000 0.0000 1
Pm1 Pm 0.0000 0.5000 0.5000 1
Pb1 Pb 0.0000 0.0000 0.5000 1
O1 O 0.0000 0.0000 0.2294 1
O2 O 0.0073 0.5036 0.7681 1
```

Total moment, μB per cell: 0.0
Raw formation energy, eV per atom: -2.263